1.
{"formula": "Pm3Zn2Hg3", "functional": "PBE", "state": "optimized geometry", "m_tot_mub_per_cell": 0.00, "volume_a3_per_atom": 25.05, "mass_density_kg_m3": 9674, "formation_enthalpy_0k_ev_per_atom": -0.363, "relative_energy_ev_per_fu": 0.21, "lattice_angstrom": [[-1.4393, -3.7719, 0.3045], [-0.5323, -0.2278, -5.3372], [9.6669, -1.2803, 2.9167]], "species": ["Pm", "Pm", "Pm", "Zn", "Zn", "Hg", "Hg", "Hg"], "frac_coords": [[0.8488, 0.2754, 0.6977], [0.1512, 0.7246, 0.3023], [0.0000, 0.0000, 0.0000], [0.7610, 0.6764, 0.5219], [0.2390, 0.3236, 0.4781], [0.3679, 0.8144, 0.7357], [0.5000, 0.5000, 0.0000], [0.6321, 0.1856, 0.2643]]}


2.
{"formula": "Ba3YIn2O8", "functional": "PBE", "state": "optimized geometry", "m_tot_mub_per_cell": 1.14, "volume_a3_per_atom": 18.71, "raw_formation_energy_kcal_per_mol_atoms": -50.28, "mass_density_kg_m3": 5442, "lattice_angstrom": [[-5.8738, 1.7098, 0.9896], [2.3057, -4.9778, 2.8825], [2.3339, 4.5503, 5.9911]], "species": ["Ba", "Ba", "Ba", "Y", "In", "In", "O", "O", "O", "O", "O", "O", "O", "O"], "frac_coords": [[0.3333, 0.6667, 0.6343], [0.6667, 0.3333, 0.3657], [0.0000, 0.0000, 0.0000], [0.0000, 0.0000, 0.5000], [0.3333, 0.6667, 0.1963], [0.6667, 0.3333, 0.8037], [0.3333, 0.6667, 0.9431], [0.6667, 0.3333, 0.0569], [0.1638, 0.8362, 0.3236], [0.8362, 0.1638, 0.6764], [0.1638, 0.3277, 0.3236], [0.8362, 0.6723, 0.6764], [0.6723, 0.8362, 0.3236], [0.3277, 0.1638, 0.6764]]}


3.
{"formula": "NaScHgI2", "functional": "PBE", "state": "optimized geometry", "m_tot_mub_per_cell": 2.00, "volume_a3_per_atom": 38.17, "raw_formation_energy_kcal_per_mol_atoms": -1.91, "mass_density_kg_m3": 4544, "lattice_angstrom": [[-3.3180, 4.4020, -2.0280], [0.5898, -1.9288, -5.1518], [-4.8061, -3.3059, 0.6875]], "species": ["I", "I", "Sc", "Hg", "Na"], "frac_coords": [[0.0000, 0.0000, 0.5000], [0.5000, 0.0000, 0.0000], [0.5000, 0.5000, 0.5000], [0.0000, 0.5000, 0.0000], [0.0000, 0.0000, 0.0000]]}